Entry 1:
Pm2MoIrO8: relaxed, GGA+U.

Lattice parameters (Å, degrees): 4.869 4.884 6.813 90.09 90.15 92.58
Space group P-1 (No. 2)
Symmetry-distinct sites (fractional):
Pm 0.061 0.058 0.253 x2
Mo 0.500 0.500 0.000 x1
Ir 0.500 0.500 0.500 x1
O 0.220 0.222 0.961 x2
O 0.221 0.223 0.544 x2
O 0.291 0.635 0.251 x2
O 0.366 0.710 0.748 x2

Output
total moment: 3.0 μB per formula unit
uncorrected energy: -7.470 eV per atom

Entry 2:
RbMoIrO6: relaxed, GGA+U.

Lattice parameters (Å, degrees): 5.3442 5.3442 6.2780 90.00 90.00 120.00
Space group P312 (No. 149)
Symmetry-distinct sites (fractional):
Rb 0.0000 0.0000 0.0000 x1
Mo 0.3333 0.6667 0.5000 x1
Ir 0.6667 0.3333 0.5000 x1
O 0.0026 0.3903 0.6706 x6

Output
total moment: 1.9 μB per formula unit
uncorrected energy: -6.425 eV per atom

Entry 3:
ScMoIrO6: relaxed, GGA+U.

Lattice parameters (Å, degrees): 5.0777 5.0777 9.0627 90.00 90.00 120.00
Space group P-31c (No. 163)
Symmetry-distinct sites (fractional):
Sc 0.3333 0.6667 0.2500 x2
Mo 0.0000 0.0000 0.0000 x2
Ir 0.3333 0.6667 0.7500 x2
O 0.0109 0.3257 0.6220 x12

Output
total moment: 0.0 μB per formula unit
uncorrected energy: -7.561 eV per atom